1.
Material: MnCd4Te5
Method: DFT, PBE
State: relaxed

a = 10.353 Å, b = 10.353 Å, c = 6.551 Å
α = 90.00°, β = 90.00°, γ = 90.00°
Space group I-4 (No. 82)
Unique sites:
Mn 0.000 0.000 0.000
Cd 0.101 0.298 0.499
Te 0.000 0.500 0.750
Te 0.096 0.807 0.239

As for the electronic total energy: -3.25 eV per atom. For the volume, the calculation gives 702 Å³ per cell. As for the formation energy without anion corrections: -0.392 eV per atom.

2.
Material: DyMg9Hg2
Method: DFT, PBE
State: relaxed

a = 12.060 Å, b = 12.060 Å, c = 7.631 Å
α = 90.00°, β = 90.00°, γ = 90.00°
Space group I4_1/amd (No. 141, origin choice 2)
Unique sites:
Dy 0.000 0.250 0.375
Mg 0.000 0.250 0.875
Mg 0.121 0.052 0.676
Hg 0.000 0.000 0.000

As for the electronic total energy: -1.73 eV per atom. For the volume, the calculation gives 1110 Å³ per cell. The formation energy comes out at -0.101 eV per atom.

3.
Material: RbLiRe2N
Method: DFT, PBE
State: relaxed

a = 4.188 Å, b = 4.188 Å, c = 6.370 Å
α = 90.00°, β = 90.00°, γ = 90.00°
Space group P4/mmm (No. 123)
Unique sites:
Rb 0.000 0.000 0.000
Li 0.000 0.000 0.500
Re 0.000 0.500 0.500
N 0.500 0.500 0.000

As for the electronic total energy: -4.22 eV per atom. For the volume, the calculation gives 112 Å³ per cell. As for the formation energy without anion corrections: 3.005 eV per atom.

4.
Material: LiAcBi
Method: DFT, PBE
State: relaxed

a = 7.130 Å, b = 7.130 Å, c = 7.130 Å
α = 90.00°, β = 90.00°, γ = 90.00°
Space group F-43m (No. 216)
Unique sites:
Li 0.000 0.000 0.000
Ac 0.250 0.250 0.250
Bi 0.250 0.250 0.750

As for the electronic total energy: -3.80 eV per atom. For the volume, the calculation gives 363 Å³ per cell. The formation energy comes out at -0.503 eV per atom. As for the energy relative to the lowest polymorph listed for this composition: 0.66 eV per formula unit.